1.
A plane-wave DFT calculation with PBE-GGA was carried out for an optimized crystal structure of Pu2Ni15Rh2.

POSCAR file:
```
Pu2Ni15Rh2
1.0
-4.562 -4.146 -1.335
-1.449 -1.470 5.960
-4.846 3.993 0.603
Ni Rh Pu
15 2 2
Cartesian
-4.647 -1.720 -0.757 Ni
-3.634 -3.348 0.840 Ni
-6.174 1.400 2.121 Ni
-4.501 -1.290 4.759 Ni
-0.725 -0.735 2.980 Ni
-2.462 0.158 4.363 Ni
-6.034 -2.608 1.166 Ni
-3.833 2.364 2.200 Ni
-2.377 -2.268 3.785 Ni
-2.281 -2.073 -0.668 Ni
-4.823 0.984 4.062 Ni
-4.684 -3.023 3.107 Ni
-6.356 -0.333 0.470 Ni
-2.423 1.996 0.302 Ni
-4.761 1.567 0.025 Ni
-1.144 -0.171 0.551 Rh
-9.714 -1.452 4.678 Rh
-3.686 -0.551 1.775 Pu
-7.171 -1.072 3.453 Pu
```

Output
As for the total energy: -6.960 eV per atom. The space-group type is R-3m (166). Its crystal system is trigonal.

2.
A plane-wave DFT calculation with PBE-GGA was carried out for an optimized crystal structure of FeTc2Ru.

POSCAR file:
```
FeTc2Ru
1.0
-2.571 -2.336 1.482
2.764 -2.081 1.516
-0.122 2.138 3.158
Ru Fe Tc
1 1 2
Cartesian
1.321 0.028 2.337 Ru
-1.347 -0.099 2.320 Fe
0.000 0.000 0.000 Tc
0.096 -2.208 1.499 Tc
```

Output
As for the total energy: -9.541 eV per atom. The space-group type is P4/mmm (123). Its crystal system is tetragonal.

3.
A plane-wave DFT calculation with PBE-GGA was carried out for an optimized crystal structure of LiBe17Mo.

POSCAR file:
```
LiBe17Mo
1.0
5.493 0.026 0.677
0.602 5.460 0.677
0.029 0.026 5.534
Be Li Mo
17 1 1
Cartesian
2.427 4.603 2.730 Be
1.295 3.598 4.177 Be
2.145 1.930 5.119 Be
3.392 5.448 6.495 Be
3.997 3.598 1.775 Be
0.594 0.535 0.668 Be
0.204 1.645 4.086 Be
3.714 0.910 4.177 Be
5.774 2.802 6.495 Be
2.059 3.839 0.681 Be
0.435 3.839 2.124 Be
3.863 0.030 2.124 Be
6.053 5.448 4.129 Be
4.034 1.645 0.681 Be
4.833 1.930 2.730 Be
1.657 0.030 4.086 Be
5.502 4.952 6.189 Be
2.123 1.911 2.388 Li
4.081 3.673 4.590 Mo
```

Output
As for the total energy: -4.080 eV per atom. The space-group type is R3m (160). Its crystal system is trigonal.

4.
A plane-wave DFT calculation with PBE-GGA was carried out for an optimized crystal structure of GaRe2Rh.

POSCAR file:
```
GaRe2Rh
1.0
-3.982 2.503 3.349
2.700 -1.992 4.700
2.268 4.635 4.210
Re Rh Ga
4 2 2
Cartesian
1.811 0.192 4.362 Re
1.183 3.696 6.111 Re
0.615 3.897 10.264 Re
-1.639 2.509 3.779 Re
-1.178 3.697 5.791 Rh
0.000 0.000 0.000 Rh
2.163 1.449 6.467 Ga
-0.641 0.256 4.024 Ga
```

Output
As for the total energy: -7.243 eV per atom. The space-group type is I-42d (122). Its crystal system is tetragonal.

5.
A plane-wave DFT calculation with PBE-GGA was carried out for an optimized crystal structure of TbPmBeGa.

POSCAR file:
```
TbPmBeGa
1.0
5.031 0.000 0.000
2.515 4.357 0.000
2.515 1.452 4.108
Pm Tb Be Ga
1 1 1 1
Cartesian
2.515 1.452 1.027 Pm
7.546 4.357 3.081 Tb
0.000 0.000 0.000 Be
5.031 2.905 2.054 Ga
```

Output
As for the total energy: -4.234 eV per atom. The space-group type is F-43m (216). Its crystal system is cubic.

6.
A plane-wave DFT calculation with PBE-GGA was carried out for an optimized crystal structure of LiCo2Hg.

POSCAR file:
```
LiCo2Hg
1.0
-1.559 2.749 0.503
-2.694 -1.632 0.569
1.271 -0.250 5.301
Hg Co Li
1 2 1
Cartesian
-1.809 0.496 1.861 Hg
1.218 -0.239 5.078 Co
0.689 -0.135 2.874 Co
-1.173 0.371 4.512 Li
```

Output
As for the total energy: -3.709 eV per atom. The space-group type is P4/mmm (123). Its crystal system is tetragonal.

7.
A plane-wave DFT calculation with PBE-GGA was carried out for an optimized crystal structure of CaTb2Pr3Se6.

POSCAR file:
```
CaTb2Pr3Se6
1.0
-5.744 4.257 -0.875
-0.238 -6.865 -2.168
-0.380 -1.035 7.288
Tb Se Ca Pr
2 6 1 3
Cartesian
-2.072 -3.161 -1.737 Tb
-3.910 0.553 -1.305 Tb
-4.538 -2.181 -0.567 Se
-0.640 -2.743 0.758 Se
-3.883 -4.616 3.056 Se
-5.723 -0.900 3.488 Se
-2.479 0.973 1.190 Se
-1.824 -1.463 4.813 Se
0.000 0.000 0.000 Ca
-3.181 -1.822 2.123 Pr
-1.337 -5.547 1.690 Pr
-5.026 1.904 2.556 Pr
```

Output
For the uncorrected formation energy, the calculation gives -1844 meV/atom. As for the total energy: -5.720 eV per atom. The space-group type is C2/m (12). Its crystal system is monoclinic.

8.
A plane-wave DFT calculation with PBE-GGA was carried out for an optimized crystal structure of Y3HoTh.

POSCAR file:
```
Y3HoTh
1.0
7.549 -0.281 -0.210
0.305 9.225 -1.367
0.305 1.295 9.236
Th Ho Y
4 4 12
Cartesian
7.389 6.493 7.233 Th
0.769 3.746 0.426 Th
4.543 1.327 3.368 Th
3.615 8.913 4.290 Th
2.192 3.398 6.278 Ho
2.192 7.363 0.977 Ho
5.966 6.842 1.380 Ho
5.966 2.877 6.682 Ho
6.694 0.624 0.875 Y
1.283 6.489 4.445 Y
1.464 9.616 6.784 Y
5.238 9.083 7.202 Y
3.101 4.283 2.795 Y
6.875 3.751 3.214 Y
1.248 1.353 3.590 Y
5.023 3.685 0.178 Y
2.920 1.156 0.456 Y
6.910 8.887 4.069 Y
5.057 5.957 4.864 Y
3.135 6.554 7.481 Y
```

Output
As for the total energy: -6.109 eV per atom. The space-group type is Cmce (64). Its crystal system is orthorhombic.

Repeat the fifth record exactly.
A plane-wave DFT calculation with PBE-GGA was carried out for an optimized crystal structure of TbPmBeGa.

POSCAR file:
```
TbPmBeGa
1.0
5.031 0.000 0.000
2.515 4.357 0.000
2.515 1.452 4.108
Pm Tb Be Ga
1 1 1 1
Cartesian
2.515 1.452 1.027 Pm
7.546 4.357 3.081 Tb
0.000 0.000 0.000 Be
5.031 2.905 2.054 Ga
```

Output
As for the total energy: -4.234 eV per atom. The space-group type is F-43m (216). Its crystal system is cubic.

What did the second record say?
A plane-wave DFT calculation with PBE-GGA was carried out for an optimized crystal structure of FeTc2Ru.

POSCAR file:
```
FeTc2Ru
1.0
-2.571 -2.336 1.482
2.764 -2.081 1.516
-0.122 2.138 3.158
Ru Fe Tc
1 1 2
Cartesian
1.321 0.028 2.337 Ru
-1.347 -0.099 2.320 Fe
0.000 0.000 0.000 Tc
0.096 -2.208 1.499 Tc
```

Output
As for the total energy: -9.541 eV per atom. The space-group type is P4/mmm (123). Its crystal system is tetragonal.